20
Lattice="-5.858 5.858 5.858 5.858 -5.858 5.858 5.858 5.858 -5.858" Properties=species:S:1:pos:R:3 comment="Pr7Nd12Sm | Alexandria | PBE | optimized geometry" sg="No. 204" e_form_mev_per_atom=583 magnetic_moment_mub_per_fu=0.001 pbc="T T T"
Pr 2.929 2.929 -2.929
Pr 2.929 -2.929 2.929
Pr 5.858 0.000 0.000
Pr -2.929 2.929 2.929
Pr 0.000 5.858 0.000
Pr 0.000 0.000 5.858
Pr 2.929 2.929 2.929
Nd 5.858 -2.947 2.955
Nd 2.955 5.858 -2.947
Nd 2.911 2.903 0.000
Nd 2.903 0.000 2.911
Nd 8.804 2.903 0.000
Nd 0.000 2.911 2.903
Nd 5.858 2.947 2.955
Nd -2.947 2.955 5.858
Nd 2.955 5.858 2.947
Nd 2.947 2.955 5.858
Nd 2.903 0.000 8.804
Nd 0.000 8.804 2.903
Sm 0.000 0.000 0.000